Sr3TiFe: relaxed, GGA-PBE.

Cell and atoms, written as POSCAR:
```
Sr3TiFe
1.0
6.044 0.000 0.000
0.000 6.044 0.000
0.000 0.000 6.044
Sr Ti Fe
3 1 1
Direct
0.000 0.000 0.500
0.000 0.500 0.000
0.500 0.000 0.000
0.000 0.000 0.000
0.500 0.500 0.500
```

As for the calculated total energy: -2.982 eV/atom.

SrTi3Fe: relaxed, GGA-PBE.

Cell and atoms, written as POSCAR:
```
SrTi3Fe
1.0
4.710 0.000 0.000
0.000 4.710 0.000
0.000 0.000 4.710
Sr Ti Fe
1 3 1
Direct
0.000 0.000 0.000
0.000 0.500 0.500
0.500 0.000 0.500
0.500 0.500 0.000
0.500 0.500 0.500
```

As for the calculated total energy: -6.431 eV/atom.

Sr2TiFe: relaxed, GGA-PBE.

Cell and atoms, written as POSCAR:
```
Sr2TiFe
1.0
-5.889 5.889 2.127
5.889 -5.889 2.127
5.889 5.889 -2.127
Sr Ti Fe
4 2 2
Direct
0.375 0.198 0.323
0.802 0.125 0.177
0.875 0.052 0.677
0.948 0.625 0.823
0.250 0.750 0.500
0.500 0.500 0.000
0.000 0.000 0.000
0.750 0.250 0.500
```

As for the calculated total energy: -4.319 eV/atom.

SrTi2ZnFe: relaxed, GGA-PBE.

Cell and atoms, written as POSCAR:
```
SrTi2ZnFe
1.0
4.520 0.000 0.000
0.000 4.520 0.000
0.000 0.000 5.767
Sr Ti Zn Fe
1 2 1 1
Direct
0.000 0.000 0.000
0.000 0.500 0.500
0.500 0.000 0.500
0.500 0.500 0.000
0.000 0.000 0.500
```

As for the calculated total energy: -4.910 eV/atom.

Sr2Tl2Fe: relaxed, GGA-PBE.

Cell and atoms, written as POSCAR:
```
Sr2Tl2Fe
1.0
7.383 0.000 0.000
0.000 7.383 0.000
0.000 0.000 5.383
Sr Tl Fe
4 4 2
Direct
0.174 0.326 0.000
0.326 0.826 0.000
0.674 0.174 0.000
0.826 0.674 0.000
0.154 0.654 0.500
0.346 0.154 0.500
0.654 0.846 0.500
0.846 0.346 0.500
0.000 0.000 0.500
0.500 0.500 0.500
```

As for the calculated total energy: -3.013 eV/atom.

SrTlFe2: relaxed, GGA-PBE.

Cell and atoms, written as POSCAR:
```
SrTlFe2
1.0
3.455 0.000 0.000
0.000 4.733 0.000
-0.808 0.000 6.021
Sr Tl Fe
1 1 2
Direct
0.000 0.000 0.000
0.500 0.000 0.500
0.274 0.500 0.637
0.726 0.500 0.363
```

As for the calculated total energy: -4.665 eV/atom.

Sr2Tl2Fe: relaxed, GGA-PBE.

Cell and atoms, written as POSCAR:
```
Sr2Tl2Fe
1.0
-3.293 3.293 4.055
3.293 -3.293 4.055
3.293 3.293 -4.055
Sr Tl Fe
2 2 1
Direct
0.250 0.750 0.500
0.750 0.250 0.500
0.175 0.175 0.000
0.825 0.825 0.000
0.500 0.500 0.000
```

As for the calculated total energy: -2.975 eV/atom.

SrTlFe3: relaxed, GGA-PBE.

Cell and atoms, written as POSCAR:
```
SrTlFe3
1.0
4.924 0.000 0.000
0.000 4.924 0.000
0.000 0.000 4.924
Sr Tl Fe
1 1 3
Direct
0.000 0.000 0.000
0.500 0.500 0.500
0.000 0.000 0.500
0.000 0.500 0.000
0.500 0.000 0.000
```

As for the calculated total energy: -3.843 eV/atom.

SrTlFe2: relaxed, GGA-PBE.

Cell and atoms, written as POSCAR:
```
SrTlFe2
1.0
3.149 -4.725 0.000
3.149 4.725 0.000
-1.094 0.000 2.880
Sr Tl Fe
1 1 2
Direct
0.000 0.000 0.000
0.500 0.500 0.000
0.000 0.500 0.500
0.500 0.000 0.500
```

As for the calculated total energy: -4.397 eV/atom.

SrTlFe2: relaxed, GGA-PBE.

Cell and atoms, written as POSCAR:
```
SrTlFe2
1.0
3.340 0.000 0.000
0.000 3.340 0.000
0.000 0.000 7.633
Sr Tl Fe
1 1 2
Direct
0.000 0.000 0.000
0.500 0.500 0.342
0.000 0.000 0.589
0.500 0.500 0.702
```

As for the calculated total energy: -4.926 eV/atom.

SrTlFe2: relaxed, GGA-PBE.

Cell and atoms, written as POSCAR:
```
SrTlFe2
1.0
0.000 3.510 3.510
3.510 0.000 3.510
3.510 3.510 0.000
Sr Tl Fe
1 1 2
Direct
0.000 0.000 0.000
0.750 0.750 0.750
0.250 0.250 0.250
0.500 0.500 0.500
```

As for the calculated total energy: -4.572 eV/atom.

SrTlFe2: relaxed, GGA-PBE.

Cell and atoms, written as POSCAR:
```
SrTlFe2
1.0
1.666 0.962 9.360
-1.666 0.962 9.360
0.000 -1.924 9.360
Sr Tl Fe
1 1 2
Direct
0.000 0.000 0.000
0.500 0.500 0.500
0.243 0.243 0.243
0.757 0.757 0.757
```

As for the calculated total energy: -4.286 eV/atom.

Number 1: density of states at the Fermi level 11.2 states/eV/cell, mass density 2.757 g/cm3, spin magnetization 6.38 μB/f.u.. Number 2: density of states at the Fermi level 8.1 states/eV/cell, mass density 4.563 g/cm3, spin magnetization 0.00 μB/f.u.. Number 3: density of states at the Fermi level 10.3 states/eV/cell, mass density 3.140 g/cm3, spin magnetization 0.36 μB/f.u.. Number 4: density of states at the Fermi level 5.9 states/eV/cell, mass density 4.294 g/cm3, spin magnetization 1.26 μB/f.u.. Number 5: density of states at the Fermi level 9.2 states/eV/cell, mass density 7.242 g/cm3, spin magnetization 0.03 μB/f.u.. Number 6: density of states at the Fermi level 3.8 states/eV/cell, mass density 6.809 g/cm3, spin magnetization 5.30 μB/f.u.. Number 7: density of states at the Fermi level 9.5 states/eV/cell, mass density 6.042 g/cm3, spin magnetization 2.37 μB/f.u.. Number 8: density of states at the Fermi level 7.6 states/eV/cell, mass density 6.390 g/cm3, spin magnetization 7.74 μB/f.u.. Number 9: density of states at the Fermi level 5.5 states/eV/cell, mass density 7.820 g/cm3, spin magnetization 5.16 μB/f.u.. Number 10: density of states at the Fermi level 3.6 states/eV/cell, mass density 7.871 g/cm3, spin magnetization 5.10 μB/f.u.. Number 11: density of states at the Fermi level 5.0 states/eV/cell, mass density 7.749 g/cm3, spin magnetization 5.48 μB/f.u.. Number 12: density of states at the Fermi level 5.5 states/eV/cell, mass density 7.445 g/cm3, spin magnetization 5.50 μB/f.u..